First-principles (PBE-GGA) data for crystalline ReS2F at its relaxed geometry, as listed in Alexandria.

a = 4.195 Å, b = 4.195 Å, c = 4.195 Å
α = 60.00°, β = 60.00°, γ = 60.00°
Positions (direct):
1 Re 0.000 0.000 0.000
2 S 0.250 0.250 0.250
3 S 0.750 0.750 0.750
4 F 0.500 0.500 0.500

## Properties
Formation energy (no corrections) ... -63 meV/atom
Electronic total energy ... -5.71 eV/atom
Excess energy over the best structure of this formula in the dataset ... 714 meV/atom